[1]
Density functional theory data (SCAN) for a PBEsol-optimized structure of MgAlZn2.

The calculation puts the formation energy at -0.005 eV per atom.

The structure belongs to space group C2/m (No. 12); the cell edges are 9.0316, 2.8735 and 5.1662 Å and the angles 90.00°, 100.75° and 90.00°. The asymmetric unit holds Mg at (0.0000, 0.0000, 0.0000), Al at (0.0000, 0.5000, 0.5000) and Zn at (0.2463, 0.0000, 0.7393).

---

[2]
Density functional theory data (SCAN) for a PBEsol-optimized structure of HfSn2BiB.

The calculation puts the formation energy at 0.462 eV per atom.

The structure belongs to space group P4/mmm (No. 123); the cell edges are 4.8528, 4.8528 and 4.6743 Å and the angles 90.00°, 90.00° and 90.00°. The asymmetric unit holds Hf at (0.0000, 0.0000, 0.0000), Sn at (0.0000, 0.5000, 0.5000), Bi at (0.5000, 0.5000, 0.0000) and B at (0.0000, 0.0000, 0.5000).

---

[3]
Density functional theory data (SCAN) for a PBEsol-optimized structure of CsPH2O4.

For the energy above the lowest structure with this stoichiometry, the calculation gives 2.7 meV/atom.

The structure belongs to space group P2_1/m (No. 11); the cell edges are 4.8715, 6.2546 and 7.8072 Å and the angles 90.00°, 105.26° and 90.00°. The asymmetric unit holds Cs at (0.2217, 0.2500, 0.2672), P at (0.2985, 0.2500, 0.7657), H at (0.1818, 0.7500, 0.3476), H at (0.5000, 0.0000, 0.0000), O at (0.0098, 0.2500, 0.6159), O at (0.2988, 0.0461, 0.8794) and O at (0.4667, 0.7500, 0.3289).

---

Number 1: N(E_F) 2.40 states/eV/cell. Number 2: N(E_F) 2.46 states/eV/cell. Number 3: N(E_F) 0.00 states/eV/cell.